The following is a DFT calculation (PBE) of a relaxed Cr2CdRu crystal.

Output
**DOS at the Fermi energy**: 6.8 states/eV/f.u.
**Energy of formation from the pure elements**: 0.5459 eV per atom
**V**: 15.36 Å³/atom
**Calculated density**: 8581 kg/m³
**SG**: P4/mmm

a b c (Å): 4.505 4.505 3.028
angles (deg): 90.00 90.00 90.00
Element x y z (fractional)
Cr 0.000 0.500 0.000
Cr 0.500 0.000 0.000
Cd 0.000 0.000 0.500
Ru 0.500 0.500 0.500

---

The following is a DFT calculation (PBE) of a relaxed Sc5Fe crystal.

Output
**DOS at the Fermi energy**: 5.5 states/eV/f.u.
**Energy of formation from the pure elements**: 0.0733 eV per atom
**Offset from the most stable computed form**: 112 meV/atom
**V**: 21.49 Å³/atom
**Calculated density**: 3615 kg/m³
**SG**: Cmmm

a b c (Å): 3.499 14.903 4.945
angles (deg): 90.00 90.00 90.00
Element x y z (fractional)
Sc 0.000 0.000 0.000
Sc 0.000 0.130 0.500
Sc 0.000 0.333 0.000
Sc 0.000 0.667 0.000
Sc 0.000 0.870 0.500
Sc 0.500 0.167 0.000
Sc 0.500 0.370 0.500
Sc 0.500 0.500 0.000
Sc 0.500 0.630 0.500
Sc 0.500 0.833 0.000
Fe 0.000 0.500 0.500
Fe 0.500 0.000 0.500

---

The following is a DFT calculation (PBE) of a relaxed SrY2Rh crystal.

Output
**DOS at the Fermi energy**: 5.3 states/eV/f.u.
**Energy of formation from the pure elements**: 0.1775 eV per atom
**Offset from the most stable computed form**: 524 meV/atom
**V**: 26.99 Å³/atom
**Calculated density**: 5666 kg/m³
**SG**: F-43m

a b c (Å): 7.558 7.558 7.558
angles (deg): 90.00 90.00 90.00
Element x y z (fractional)
Sr 0.000 0.000 0.000
Sr 0.000 0.500 0.500
Sr 0.500 0.000 0.500
Sr 0.500 0.500 0.000
Y 0.000 0.000 0.500
Y 0.000 0.500 0.000
Y 0.250 0.250 0.250
Y 0.250 0.750 0.750
Y 0.500 0.000 0.000
Y 0.500 0.500 0.500
Y 0.750 0.250 0.750
Y 0.750 0.750 0.250
Rh 0.250 0.250 0.750
Rh 0.250 0.750 0.250
Rh 0.750 0.250 0.250
Rh 0.750 0.750 0.750

---

The following is a DFT calculation (PBE) of a relaxed SmHo3Si4 crystal.

Output
**DOS at the Fermi energy**: 6.6 states/eV/f.u.
**Raw formation energy**: -404 kJ/mol of formula units
**V**: 24.17 Å³/atom
**Calculated density**: 6504 kg/m³
**SG**: Immm

a b c (Å): 3.912 6.314 15.656
angles (deg): 90.00 90.00 90.00
Element x y z (fractional)
Sm 0.000 0.000 0.000
Sm 0.500 0.500 0.500
Ho 0.000 0.000 0.500
Ho 0.000 0.500 0.305
Ho 0.000 0.500 0.695
Ho 0.500 0.000 0.195
Ho 0.500 0.000 0.805
Ho 0.500 0.500 0.000
Si 0.000 0.316 0.133
Si 0.000 0.316 0.867
Si 0.000 0.684 0.133
Si 0.000 0.684 0.867
Si 0.500 0.184 0.367
Si 0.500 0.184 0.633
Si 0.500 0.816 0.367
Si 0.500 0.816 0.633

---

The following is a DFT calculation (PBE) of a relaxed Pr5YIn6 crystal.

Output
**DOS at the Fermi energy**: 5.9 states/eV/f.u.
**Energy of formation from the pure elements**: -0.4943 eV per atom
**V**: 29.18 Å³/atom
**Calculated density**: 7030 kg/m³
**SG**: C2/m

a b c (Å): 9.501 9.501 5.486
angles (deg): 106.76 106.76 120.04
Element x y z (fractional)
Pr 0.000 0.000 0.000
Pr 0.164 0.836 0.500
Pr 0.328 0.672 0.000
Pr 0.672 0.328 0.000
Pr 0.836 0.164 0.500
Y 0.500 0.500 0.500
In 0.094 0.420 0.257
In 0.264 0.264 0.764
In 0.420 0.094 0.257
In 0.580 0.906 0.743
In 0.736 0.736 0.236
In 0.906 0.580 0.743

---

The following is a DFT calculation (PBE) of a relaxed NaBi4Pt4 crystal.

Output
**DOS at the Fermi energy**: 4.3 states/eV/f.u.
**Energy of formation from the pure elements**: -0.2100 eV per atom
**V**: 26.77 Å³/atom
**Calculated density**: 11298 kg/m³
**SG**: P4_2/n

a b c (Å): 9.282 9.282 5.593
angles (deg): 90.00 90.00 90.00
Element x y z (fractional)
Na 0.250 0.250 0.250
Na 0.750 0.750 0.750
Bi 0.101 0.631 0.150
Bi 0.131 0.899 0.650
Bi 0.369 0.601 0.650
Bi 0.399 0.869 0.150
Bi 0.601 0.131 0.850
Bi 0.631 0.399 0.350
Bi 0.869 0.101 0.350
Bi 0.899 0.369 0.850
Pt 0.053 0.609 0.649
Pt 0.109 0.947 0.149
Pt 0.391 0.553 0.149
Pt 0.447 0.891 0.649
Pt 0.553 0.109 0.351
Pt 0.609 0.447 0.851
Pt 0.891 0.053 0.851
Pt 0.947 0.391 0.351

---

The following is a DFT calculation (PBE) of a relaxed MgIr2C2 crystal.

Output
**DOS at the Fermi energy**: 1.7 states/eV/f.u.
**Energy of formation from the pure elements**: 0.9323 eV per atom
**Offset from the most stable computed form**: 446 meV/atom
**V**: 11.68 Å³/atom
**Calculated density**: 12303 kg/m³
**SG**: P4/mbm

a b c (Å): 6.455 6.455 2.804
angles (deg): 90.00 90.00 90.00
Element x y z (fractional)
Mg 0.000 0.000 0.000
Mg 0.500 0.500 0.000
Ir 0.161 0.339 0.500
Ir 0.339 0.839 0.500
Ir 0.661 0.161 0.500
Ir 0.839 0.661 0.500
C 0.178 0.678 0.000
C 0.322 0.178 0.000
C 0.678 0.822 0.000
C 0.822 0.322 0.000

---

The following is a DFT calculation (PBE) of a relaxed Tl4CuTe3Se8 crystal.

Output
**DOS at the Fermi energy**: 5.7 states/eV/f.u.
**Raw formation energy**: -208 kJ/mol of formula units
**V**: 28.14 Å³/atom
**Calculated density**: 6992 kg/m³
**SG**: C2/m

a b c (Å): 8.666 8.666 8.854
angles (deg): 120.44 120.44 55.71
Element x y z (fractional)
Tl 0.000 0.000 0.000
Tl 0.000 0.500 0.000
Tl 0.500 0.000 0.000
Tl 0.500 0.500 0.000
Cu 0.000 0.000 0.500
Te 0.000 0.500 0.500
Te 0.500 0.000 0.500
Te 0.500 0.500 0.500
Se 0.223 0.759 0.694
Se 0.238 0.238 0.713
Se 0.241 0.777 0.306
Se 0.248 0.248 0.279
Se 0.752 0.752 0.721
Se 0.759 0.223 0.694
Se 0.762 0.762 0.287
Se 0.777 0.241 0.306

---

The following is a DFT calculation (PBE) of a relaxed La2TbNd6Er crystal.

Output
**DOS at the Fermi energy**: 15.4 states/eV/f.u.
**Energy of formation from the pure elements**: 0.1118 eV per atom
**V**: 35.07 Å³/atom
**Calculated density**: 6957 kg/m³
**SG**: C2/c

a b c (Å): 8.934 8.934 10.108
angles (deg): 95.23 95.23 117.95
Element x y z (fractional)
La 0.194 0.291 0.041
La 0.291 0.194 0.541
La 0.709 0.806 0.459
La 0.806 0.709 0.959
Tb 0.013 0.987 0.250
Tb 0.987 0.013 0.750
Nd 0.018 0.581 0.189
Nd 0.123 0.743 0.556
Nd 0.257 0.877 0.944
Nd 0.295 0.499 0.379
Nd 0.419 0.982 0.311
Nd 0.499 0.295 0.879
Nd 0.501 0.705 0.121
Nd 0.581 0.018 0.689
Nd 0.705 0.501 0.621
Nd 0.743 0.123 0.056
Nd 0.877 0.257 0.444
Nd 0.982 0.419 0.811
Er 0.405 0.595 0.750
Er 0.595 0.405 0.250

---

The following is a DFT calculation (PBE) of a relaxed NiSnBr4 crystal.

Output
**Raw formation energy**: -282 kJ/mol of formula units
**V**: 32.49 Å³/atom
**Calculated density**: 4234 kg/m³
**SG**: C2/m

a b c (Å): 14.032 3.937 7.257
angles (deg): 90.00 103.50 90.00
Element x y z (fractional)
Ni 0.000 0.000 0.000
Ni 0.500 0.500 0.000
Sn 0.000 0.500 0.500
Sn 0.500 0.000 0.500
Br 0.104 0.500 0.912
Br 0.116 0.000 0.332
Br 0.384 0.500 0.668
Br 0.396 0.000 0.088
Br 0.604 0.000 0.912
Br 0.616 0.500 0.332
Br 0.884 0.000 0.668
Br 0.896 0.500 0.088

---

The following is a DFT calculation (PBE) of a relaxed CaTe2C crystal.

Output
**DOS at the Fermi energy**: 4.2 states/eV/f.u.
**Raw formation energy**: 376 kJ/mol of formula units
**V**: 26.16 Å³/atom
**Calculated density**: 4877 kg/m³
**SG**: R-3m

a b c (Å): 3.634 3.634 27.446
angles (deg): 90.00 90.00 120.00
Element x y z (fractional)
Ca 0.000 0.000 0.000
Ca 0.333 0.667 0.667
Ca 0.667 0.333 0.333
Te 0.000 0.000 0.113
Te 0.000 0.000 0.887
Te 0.333 0.667 0.554
Te 0.333 0.667 0.780
Te 0.667 0.333 0.220
Te 0.667 0.333 0.446
C 0.000 0.000 0.500
C 0.333 0.667 0.167
C 0.667 0.333 0.833

---

The following is a DFT calculation (PBE) of a relaxed Mn5Sb crystal.

Output
**DOS at the Fermi energy**: 8.2 states/eV/f.u.
**Offset from the most stable computed form**: 109 meV/atom
**Raw formation energy**: 107 kJ/mol of formula units
**V**: 12.99 Å³/atom
**Calculated density**: 8443 kg/m³
**SG**: P-62m

a b c (Å): 4.574 4.574 4.302
angles (deg): 90.00 90.00 120.00
Element x y z (fractional)
Mn 0.000 0.644 0.000
Mn 0.333 0.667 0.500
Mn 0.356 0.356 0.000
Mn 0.644 0.000 0.000
Mn 0.667 0.333 0.500
Sb 0.000 0.000 0.500

---

The following is a DFT calculation (PBE) of a relaxed Ta2NbGa3 crystal.

Output
**DOS at the Fermi energy**: 2.4 states/eV/f.u.
**Energy of formation from the pure elements**: 0.1574 eV per atom
**V**: 18.07 Å³/atom
**Calculated density**: 10169 kg/m³
**SG**: C2/c

a b c (Å): 6.414 6.414 6.453
angles (deg): 99.54 99.54 120.02
Element x y z (fractional)
Ta 0.083 0.917 0.750
Ta 0.250 0.750 0.250
Ta 0.750 0.250 0.750
Ta 0.917 0.083 0.250
Nb 0.417 0.583 0.750
Nb 0.583 0.417 0.250
Ga 0.000 0.500 0.500
Ga 0.167 0.333 0.000
Ga 0.333 0.167 0.500
Ga 0.500 0.000 0.000
Ga 0.667 0.833 0.500
Ga 0.833 0.667 0.000

---

The following is a DFT calculation (PBE) of a relaxed MgCo2Pt crystal.

Output
**DOS at the Fermi energy**: 4.0 states/eV/f.u.
**Energy of formation from the pure elements**: -0.1067 eV per atom
**V**: 13.71 Å³/atom
**Calculated density**: 10214 kg/m³
**SG**: C2/m

a b c (Å): 9.053 2.749 4.485
angles (deg): 90.00 100.82 90.00
Element x y z (fractional)
Mg 0.000 0.000 0.000
Mg 0.500 0.500 0.000
Co 0.243 0.000 0.741
Co 0.257 0.500 0.259
Co 0.743 0.500 0.741
Co 0.757 0.000 0.259
Pt 0.000 0.500 0.500
Pt 0.500 0.000 0.500

---

The following is a DFT calculation (PBE) of a relaxed PdPbSeN2 crystal.

Output
**DOS at the Fermi energy**: 1.8 states/eV/f.u.
**Offset from the most stable computed form**: 0 meV/atom
**Raw formation energy**: 557 kJ/mol of formula units
**V**: 19.95 Å³/atom
**Calculated density**: 7003 kg/m³
**SG**: P4/mmm

a b c (Å): 4.172 4.172 5.730
angles (deg): 90.00 90.00 90.00
Element x y z (fractional)
Pd 0.000 0.000 0.000
Pb 0.500 0.500 0.500
Se 0.000 0.000 0.500
N 0.000 0.500 0.000
N 0.500 0.000 0.000

---

The following is a DFT calculation (PBE) of a relaxed EuHoInIr crystal.

Output
**DOS at the Fermi energy**: 6.7 states/eV/f.u.
**Energy of formation from the pure elements**: -0.3964 eV per atom
**V**: 23.74 Å³/atom
**Calculated density**: 10910 kg/m³
**SG**: F-43m

a b c (Å): 7.242 7.242 7.242
angles (deg): 90.00 90.00 90.00
Element x y z (fractional)
Eu 0.000 0.000 0.000
Eu 0.000 0.500 0.500
Eu 0.500 0.000 0.500
Eu 0.500 0.500 0.000
Ho 0.000 0.000 0.500
Ho 0.000 0.500 0.000
Ho 0.500 0.000 0.000
Ho 0.500 0.500 0.500
In 0.250 0.250 0.250
In 0.250 0.750 0.750
In 0.750 0.250 0.750
In 0.750 0.750 0.250
Ir 0.250 0.250 0.750
Ir 0.250 0.750 0.250
Ir 0.750 0.250 0.250
Ir 0.750 0.750 0.750

---

The following is a DFT calculation (PBE) of a relaxed BeOF2 crystal.

Output
**DOS at the Fermi energy**: 0.0 states/eV/f.u.
**Offset from the most stable computed form**: 0 meV/atom
**Raw formation energy**: -653 kJ/mol of formula units
**V**: 11.74 Å³/atom
**Calculated density**: 2229 kg/m³
**SG**: I-42d

a b c (Å): 5.018 5.018 7.457
angles (deg): 90.00 90.00 90.00
Element x y z (fractional)
Be 0.000 0.000 0.000
Be 0.000 0.500 0.250
Be 0.500 0.000 0.750
Be 0.500 0.500 0.500
O 0.000 0.000 0.500
O 0.000 0.500 0.750
O 0.500 0.000 0.250
O 0.500 0.500 0.000
F 0.015 0.250 0.125
F 0.250 0.515 0.375
F 0.250 0.985 0.875
F 0.485 0.250 0.625
F 0.515 0.750 0.625
F 0.750 0.015 0.875
F 0.750 0.485 0.375
F 0.985 0.750 0.125

---

The following is a DFT calculation (PBE) of a relaxed K2CuCl3F crystal.

Output
**DOS at the Fermi energy**: 1.4 states/eV/f.u.
**Raw formation energy**: -1045 kJ/mol of formula units
**V**: 23.23 Å³/atom
**Calculated density**: 2728 kg/m³
**SG**: Immm

a b c (Å): 4.245 4.861 15.761
angles (deg): 90.00 90.00 90.00
Element x y z (fractional)
K 0.000 0.000 0.141
K 0.000 0.000 0.859
K 0.500 0.500 0.359
K 0.500 0.500 0.641
Cu 0.000 0.000 0.500
Cu 0.500 0.500 0.000
Cl 0.000 0.000 0.346
Cl 0.000 0.000 0.654
Cl 0.000 0.500 0.500
Cl 0.500 0.000 0.000
Cl 0.500 0.500 0.154
Cl 0.500 0.500 0.846
F 0.000 0.500 0.000
F 0.500 0.000 0.500

---

The following is a DFT calculation (PBE) of a relaxed AcBiTe2S crystal.

Output
**DOS at the Fermi energy**: 2.8 states/eV/f.u.
**Raw formation energy**: -488 kJ/mol of formula units
**V**: 34.18 Å³/atom
**Calculated density**: 7027 kg/m³
**SG**: P4/nmm

a b c (Å): 4.648 4.648 15.823
angles (deg): 90.00 90.00 90.00
Element x y z (fractional)
Ac 0.250 0.250 0.111
Ac 0.750 0.750 0.889
Bi 0.250 0.250 0.614
Bi 0.750 0.750 0.386
Te 0.250 0.250 0.395
Te 0.250 0.250 0.800
Te 0.750 0.750 0.200
Te 0.750 0.750 0.605
S 0.250 0.750 0.000
S 0.750 0.250 0.000

---

The following is a DFT calculation (PBE) of a relaxed Sn2IrOs crystal.

Output
**DOS at the Fermi energy**: 4.2 states/eV/f.u.
**Energy of formation from the pure elements**: 0.9376 eV per atom
**Offset from the most stable computed form**: 637 meV/atom
**V**: 26.76 Å³/atom
**Calculated density**: 9617 kg/m³
**SG**: I-42d

a b c (Å): 5.962 5.962 12.046
angles (deg): 90.00 90.00 90.00
Element x y z (fractional)
Sn 0.250 0.250 0.125
Sn 0.250 0.250 0.625
Sn 0.250 0.750 0.375
Sn 0.250 0.750 0.875
Sn 0.750 0.250 0.375
Sn 0.750 0.250 0.875
Sn 0.750 0.750 0.125
Sn 0.750 0.750 0.625
Ir 0.000 0.000 0.000
Ir 0.000 0.500 0.250
Ir 0.500 0.000 0.750
Ir 0.500 0.500 0.500
Os 0.000 0.000 0.500
Os 0.000 0.500 0.750
Os 0.500 0.000 0.250
Os 0.500 0.500 0.000

---

The following is a DFT calculation (PBE) of a relaxed CeDyTh2Bi5 crystal.

Output
**DOS at the Fermi energy**: 9.4 states/eV/f.u.
**Energy of formation from the pure elements**: 0.0391 eV per atom
**V**: 38.89 Å³/atom
**Calculated density**: 8594 kg/m³
**SG**: P4/mmm

a b c (Å): 5.429 5.429 11.876
angles (deg): 90.00 90.00 90.00
Element x y z (fractional)
Ce 0.000 0.000 0.000
Dy 0.000 0.000 0.500
Th 0.500 0.500 0.307
Th 0.500 0.500 0.693
Bi 0.000 0.000 0.250
Bi 0.000 0.000 0.750
Bi 0.000 0.500 0.500
Bi 0.500 0.000 0.500
Bi 0.500 0.500 0.000

---

The following is a DFT calculation (PBE) of a relaxed ScCu2I6 crystal.

Output
**DOS at the Fermi energy**: 7.4 states/eV/f.u.
**Offset from the most stable computed form**: 0 meV/atom
**Raw formation energy**: -525 kJ/mol of formula units
**V**: 40.53 Å³/atom
**Calculated density**: 4249 kg/m³
**SG**: C2/c

a b c (Å): 10.223 10.223 7.319
angles (deg): 101.86 101.86 82.52
Element x y z (fractional)
Sc 0.082 0.918 0.750
Sc 0.918 0.082 0.250
Cu 0.349 0.536 0.859
Cu 0.464 0.651 0.641
Cu 0.536 0.349 0.359
Cu 0.651 0.464 0.141
I 0.047 0.182 0.636
I 0.114 0.660 0.867
I 0.182 0.047 0.136
I 0.319 0.445 0.492
I 0.340 0.886 0.633
I 0.445 0.319 0.992
I 0.555 0.681 0.008
I 0.660 0.114 0.367
I 0.681 0.555 0.508
I 0.818 0.953 0.864
I 0.886 0.340 0.133
I 0.953 0.818 0.364

---

The following is a DFT calculation (PBE) of a relaxed NaPdN2 crystal.

Output
**DOS at the Fermi energy**: 1.3 states/eV/f.u.
**Offset from the most stable computed form**: 1156 meV/atom
**Raw formation energy**: 451 kJ/mol of formula units
**V**: 10.27 Å³/atom
**Calculated density**: 6364 kg/m³
**SG**: Fm-3m

a b c (Å): 5.477 5.477 5.477
angles (deg): 90.00 90.00 90.00
Element x y z (fractional)
Na 0.000 0.000 0.000
Na 0.000 0.500 0.500
Na 0.500 0.000 0.500
Na 0.500 0.500 0.000
Pd 0.000 0.000 0.500
Pd 0.000 0.500 0.000
Pd 0.500 0.000 0.000
Pd 0.500 0.500 0.500
N 0.250 0.250 0.250
N 0.250 0.250 0.750
N 0.250 0.750 0.250
N 0.250 0.750 0.750
N 0.750 0.250 0.250
N 0.750 0.250 0.750
N 0.750 0.750 0.250
N 0.750 0.750 0.750